# 1
## ScTc2 (GGA-PBE)

Data for a geometry-optimized ScTc2 structure.

The structure in POSCAR format:
```
ScTc2
1.0
4.686 0.000 0.000
-2.343 4.058 0.000
0.000 0.000 5.147
Sc Tc
2 4
direct
0.333 0.667 0.250
0.667 0.333 0.750
0.000 0.000 0.000
0.000 0.000 0.500
0.333 0.667 0.750
0.667 0.333 0.250
```

- Volume: 16.31 Å³/atom
- Energy relative to the lowest polymorph listed for this composition: 0.5112 eV per atom
- ΔE_f: 0.208 eV per atom
- N(E_F): 1.2177 states/eV/atom
- Total magnetization: 0.00 μB per cell



# 2
## LiHfO2F (GGA-PBE)

Data for a geometry-optimized LiHfO2F structure.

The structure in POSCAR format:
```
LiHfO2F
1.0
3.642 0.000 0.000
0.000 3.642 0.000
0.000 0.000 3.279
Li Hf O F
1 1 2 1
direct
0.000 0.000 0.000
0.500 0.500 0.500
0.000 0.500 0.000
0.500 0.000 0.000
0.000 0.000 0.500
```

- Volume: 8.70 Å³/atom
- N(E_F): 0.0253 states/eV/atom
- Formation energy from raw total energies: -2253 meV per atom
- Total magnetization: 0.00 μB per cell



# 3
## FeNiAu2 (GGA-PBE)

Data for a geometry-optimized FeNiAu2 structure.

The structure in POSCAR format:
```
FeNiAu2
1.0
0.000 3.100 3.100
3.100 0.000 3.100
3.100 3.100 0.000
Fe Ni Au
1 1 2
direct
0.000 0.000 0.000
0.500 0.500 0.500
0.250 0.250 0.250
0.750 0.750 0.750
```

- Volume: 14.89 Å³/atom
- Energy relative to the lowest polymorph listed for this composition: 0.0722 eV per atom
- ΔE_f: 0.137 eV per atom
- N(E_F): 0.7981 states/eV/atom
- Total magnetization: 3.19 μB per cell



# 4
## ScGeRu (GGA-PBE)

Data for a geometry-optimized ScGeRu structure.

The structure in POSCAR format:
```
ScGeRu
1.0
-1.574 1.574 5.026
1.574 -1.574 5.026
1.574 1.574 -5.026
Sc Ge Ru
1 1 1
direct
0.000 0.000 0.000
0.695 0.695 0.000
0.319 0.319 0.000
```

- Volume: 16.60 Å³/atom
- ΔE_f: -0.561 eV per atom
- N(E_F): 0.5666 states/eV/atom
- Total magnetization: 0.00 μB per cell



# 5
## PuSBr (GGA-PBE)

Data for a geometry-optimized PuSBr structure.

The structure in POSCAR format:
```
PuSBr
1.0
7.027 -2.082 0.000
7.027 2.082 0.000
-2.150 0.000 6.988
Pu S Br
2 2 2
direct
0.250 0.250 0.230
0.750 0.750 0.770
0.152 0.152 0.858
0.848 0.848 0.142
0.372 0.372 0.645
0.628 0.628 0.355
```

- Volume: 34.08 Å³/atom
- Energy relative to the lowest polymorph listed for this composition: 0.1118 eV per atom
- N(E_F): 2.9732 states/eV/atom
- Formation energy from raw total energies: -1538 meV per atom
- Total magnetization: 10.00 μB per cell



# 6
## NpPt12 (GGA-PBE)

Data for a geometry-optimized NpPt12 structure.

The structure in POSCAR format:
```
NpPt12
1.0
0.000 5.356 5.356
5.356 0.000 5.356
5.356 5.356 0.000
Np Pt
1 12
direct
0.000 0.000 0.000
0.160 0.500 0.500
0.160 0.500 0.840
0.160 0.840 0.500
0.500 0.160 0.500
0.500 0.160 0.840
0.500 0.500 0.160
0.500 0.500 0.840
0.500 0.840 0.160
0.500 0.840 0.500
0.840 0.160 0.500
0.840 0.500 0.160
0.840 0.500 0.500
```

- Volume: 23.64 Å³/atom
- ΔE_f: 0.556 eV per atom
- N(E_F): 1.8041 states/eV/atom
- Total magnetization: 4.11 μB per cell



# 7
## GeS2IN (GGA-PBE)

Data for a geometry-optimized GeS2IN structure.

The structure in POSCAR format:
```
GeS2IN
1.0
5.058 0.000 0.000
0.000 5.058 0.000
0.000 0.000 3.622
Ge S I N
1 2 1 1
direct
0.000 0.000 0.000
0.000 0.500 0.000
0.500 0.000 0.000
0.500 0.500 0.500
0.000 0.000 0.500
```

- Volume: 18.53 Å³/atom
- Energy relative to the lowest polymorph listed for this composition: 0.0000 eV per atom
- N(E_F): 0.9482 states/eV/atom
- Formation energy from raw total energies: 892 meV per atom
- Total magnetization: 0.00 μB per cell



# 8
## GdPaNi4 (GGA-PBE)

Data for a geometry-optimized GdPaNi4 structure.

The structure in POSCAR format:
```
GdPaNi4
1.0
0.000 3.582 3.582
3.582 0.000 3.582
3.582 3.582 0.000
Gd Pa Ni
1 1 4
direct
0.000 0.000 0.000
0.250 0.250 0.250
0.126 0.625 0.625
0.625 0.126 0.625
0.625 0.625 0.126
0.625 0.625 0.625
```

- Volume: 15.32 Å³/atom
- ΔE_f: -0.341 eV per atom
- N(E_F): 1.3488 states/eV/atom
- Total magnetization: 7.32 μB per cell



# 9
## AgGe2AsSe6 (GGA-PBE)

Data for a geometry-optimized AgGe2AsSe6 structure.

The structure in POSCAR format:
```
AgGe2AsSe6
1.0
6.826 -5.714 0.000
6.826 5.714 0.000
-2.550 0.000 6.898
Ag Ge As Se
2 4 2 12
direct
0.235 0.765 0.750
0.765 0.235 0.250
0.187 0.374 0.813
0.374 0.187 0.313
0.626 0.813 0.687
0.813 0.626 0.187
0.233 0.767 0.250
0.767 0.233 0.750
0.000 0.194 0.614
0.000 0.806 0.386
0.063 0.638 0.888
0.194 0.000 0.114
0.309 0.411 0.567
0.362 0.937 0.612
0.411 0.309 0.067
0.589 0.691 0.933
0.638 0.063 0.388
0.691 0.589 0.433
0.806 0.000 0.886
0.937 0.362 0.112
```

- Volume: 26.91 Å³/atom
- Formation energy from raw total energies: -142 meV per atom
- Total magnetization: 0.00 μB per cell



# 10
## BAu3Br (GGA-PBE)

Data for a geometry-optimized BAu3Br structure.

The structure in POSCAR format:
```
BAu3Br
1.0
5.166 0.000 0.000
0.000 5.166 0.000
0.000 0.000 5.166
B Au Br
1 3 1
direct
0.000 0.000 0.000
0.000 0.500 0.500
0.500 0.000 0.500
0.500 0.500 0.000
0.500 0.500 0.500
```

- Volume: 27.58 Å³/atom
- Energy relative to the lowest polymorph listed for this composition: 1.2229 eV per atom
- N(E_F): 1.0861 states/eV/atom
- Formation energy from raw total energies: 1795 meV per atom
- Total magnetization: 0.00 μB per cell



# 11
## Sr2ZnSn3Au4 (GGA-PBE)

Data for a geometry-optimized Sr2ZnSn3Au4 structure.

The structure in POSCAR format:
```
Sr2ZnSn3Au4
1.0
4.760 0.000 0.000
0.000 4.760 0.000
0.000 0.000 10.997
Sr Zn Sn Au
2 1 3 4
direct
0.000 0.500 0.245
0.500 0.000 0.755
0.000 0.000 0.500
0.000 0.500 0.868
0.500 0.000 0.132
0.500 0.500 0.500
0.000 0.000 0.000
0.000 0.500 0.622
0.500 0.000 0.378
0.500 0.500 0.000
```

- Volume: 24.92 Å³/atom
- ΔE_f: -0.539 eV per atom
- N(E_F): 0.4849 states/eV/atom
- Total magnetization: 0.00 μB per cell



# 12
## Ge3IrF (GGA-PBE)

Data for a geometry-optimized Ge3IrF structure.

The structure in POSCAR format:
```
Ge3IrF
1.0
4.832 0.000 0.000
0.000 4.832 0.000
0.000 0.000 4.832
Ge Ir F
3 1 1
direct
0.000 0.000 0.500
0.000 0.500 0.000
0.500 0.000 0.000
0.000 0.000 0.000
0.500 0.500 0.500
```

- Volume: 22.56 Å³/atom
- N(E_F): 1.2875 states/eV/atom
- Formation energy from raw total energies: -60 meV per atom
- Total magnetization: 0.00 μB per cell



# 13
## Ac2TeN (GGA-PBE)

Data for a geometry-optimized Ac2TeN structure.

The structure in POSCAR format:
```
Ac2TeN
1.0
2.069 1.195 7.626
-2.069 1.195 7.626
0.000 -2.389 7.626
Ac Te N
2 1 1
direct
0.231 0.231 0.231
0.769 0.769 0.769
0.000 0.000 0.000
0.500 0.500 0.500
```

- Volume: 28.28 Å³/atom
- Energy relative to the lowest polymorph listed for this composition: 0.1160 eV per atom
- N(E_F): 0.4780 states/eV/atom
- Formation energy from raw total energies: -1235 meV per atom
- Total magnetization: 0.00 μB per cell



# 14
## Pm5SnSe5 (GGA-PBE)

Data for a geometry-optimized Pm5SnSe5 structure.

The structure in POSCAR format:
```
Pm5SnSe5
1.0
6.716 -3.008 0.000
6.716 3.008 0.000
-2.672 0.000 8.097
Pm Sn Se
5 1 5
direct
0.000 0.000 0.000
0.332 0.332 0.659
0.335 0.335 0.178
0.665 0.665 0.822
0.668 0.668 0.341
0.500 0.500 0.000
0.166 0.166 0.334
0.171 0.171 0.839
0.500 0.500 0.500
0.829 0.829 0.161
0.834 0.834 0.666
```

- Volume: 29.74 Å³/atom
- N(E_F): 0.2385 states/eV/atom
- Formation energy from raw total energies: -1668 meV per atom
- Total magnetization: 0.00 μB per cell



# 15
## TlCu2SbSe4 (GGA-PBE)

Data for a geometry-optimized TlCu2SbSe4 structure.

The structure in POSCAR format:
```
TlCu2SbSe4
1.0
-3.010 3.010 6.036
3.010 -3.010 6.036
3.010 3.010 -6.036
Tl Cu Sb Se
1 2 1 4
direct
0.000 0.000 0.000
0.250 0.750 0.500
0.750 0.250 0.500
0.500 0.500 0.000
0.100 0.599 0.000
0.401 0.401 0.501
0.599 0.100 0.000
0.900 0.900 0.499
```

- Volume: 27.34 Å³/atom
- N(E_F): 0.4078 states/eV/atom
- Formation energy from raw total energies: -149 meV per atom
- Total magnetization: 0.00 μB per cell



# 16
## Cs2YSCl6 (GGA-PBE)

Data for a geometry-optimized Cs2YSCl6 structure.

The structure in POSCAR format:
```
Cs2YSCl6
1.0
-3.701 3.701 6.323
3.701 -3.701 6.323
3.701 3.701 -6.323
Cs Y S Cl
2 1 1 6
direct
0.250 0.750 0.500
0.750 0.250 0.500
0.000 0.000 0.000
0.500 0.500 0.000
0.208 0.208 0.000
0.253 0.253 0.507
0.253 0.747 0.000
0.747 0.253 0.000
0.747 0.747 0.493
0.792 0.792 0.000
```

- Volume: 34.64 Å³/atom
- N(E_F): 0.2674 states/eV/atom
- Formation energy from raw total energies: -1515 meV per atom
- Total magnetization: 1.00 μB per cell



# 17
## NaAgSnI4 (GGA-PBE)

Data for a geometry-optimized NaAgSnI4 structure.

The structure in POSCAR format:
```
NaAgSnI4
1.0
-4.576 4.613 6.541
4.576 -4.613 6.541
4.576 4.613 -6.541
Na Ag Sn I
2 2 2 8
direct
0.500 0.000 0.000
0.500 0.500 0.500
0.111 0.361 0.750
0.889 0.639 0.250
0.000 0.000 0.000
0.500 0.000 0.500
0.250 0.248 0.499
0.250 0.751 0.001
0.253 0.244 0.009
0.265 0.756 0.509
0.735 0.244 0.491
0.747 0.756 0.991
0.750 0.249 0.999
0.750 0.752 0.501
```

- Volume: 39.45 Å³/atom
- N(E_F): 0.0000 states/eV/atom
- Formation energy from raw total energies: -636 meV per atom
- Total magnetization: 0.00 μB per cell



# 18
## KLaZr2 (GGA-PBE)

Data for a geometry-optimized KLaZr2 structure.

The structure in POSCAR format:
```
KLaZr2
1.0
-1.645 2.972 6.038
1.645 -2.972 6.038
1.645 2.972 -6.038
K La Zr
1 1 2
direct
0.000 0.000 0.000
0.500 0.500 0.000
0.270 0.770 0.500
0.730 0.230 0.500
```

- Volume: 29.52 Å³/atom
- Energy relative to the lowest polymorph listed for this composition: 0.3990 eV per atom
- ΔE_f: 0.722 eV per atom
- N(E_F): 1.5351 states/eV/atom
- Total magnetization: 0.00 μB per cell



# 19
## CeAlCd (GGA-PBE)

Data for a geometry-optimized CeAlCd structure.

The structure in POSCAR format:
```
CeAlCd
1.0
0.000 3.434 3.434
3.434 0.000 3.434
3.434 3.434 0.000
Ce Al Cd
1 1 1
direct
0.000 0.000 0.000
0.250 0.250 0.250
0.500 0.500 0.500
```

- Volume: 27.00 Å³/atom
- ΔE_f: -0.083 eV per atom
- N(E_F): 2.2621 states/eV/atom
- Total magnetization: 0.93 μB per cell



# 20
## Sm2YTe (GGA-PBE)

Data for a geometry-optimized Sm2YTe structure.

The structure in POSCAR format:
```
Sm2YTe
1.0
1.984 1.146 9.867
-1.984 1.146 9.867
0.000 -2.291 9.867
Sm Y Te
2 1 1
direct
0.000 0.000 0.000
0.190 0.190 0.190
0.762 0.762 0.762
0.595 0.595 0.595
```

- Volume: 33.65 Å³/atom
- Energy relative to the lowest polymorph listed for this composition: 0.1276 eV per atom
- N(E_F): 1.2534 states/eV/atom
- Formation energy from raw total energies: -553 meV per atom
- Total magnetization: 0.24 μB per cell